An optimized crystal structure of BaCd2Au. Source: Alexandria via LeMat-Bulk, functional PBE-GGA.

## Properties
Energy   -2.063 eV per atom
Mass density   7.85 g cm⁻³
Spin magnetization   0.0 μB per cell

CIF file:
```
data_BaCd2Au
_chemical_formula_sum 'Ba2 Cd4 Au2'
_space_group_name_H-M_alt 'C 1 2/m 1'
_space_group_IT_number 12
_space_group_name_Hall '-C 2y'
_cell_length_a 10.975
_cell_length_b 4.101
_cell_length_c 5.758
_cell_angle_alpha 90.00
_cell_angle_beta 114.18
_cell_angle_gamma 90.00
loop_
_atom_site_label
_atom_site_fract_x
_atom_site_fract_y
_atom_site_fract_z
_atom_site_occupancy
Ba1 0.000 0.000 0.000 1
Cd1 0.211 0.000 0.678 1
Au1 0.000 0.500 0.500 1
```